No. 1
Ga2AsS | Alexandria | PBE-GGA | optimized geometry; energy = -3.76 eV/atom; space group = No. 166; crystal system = trigonal
1.0
2.0213 1.1670 7.0061
-2.0213 1.1670 7.0061
0.0000 -2.3340 7.0061
Ga As S
2 1 1
direct
0.1048 0.1048 0.1048
0.8952 0.8952 0.8952
0.5000 0.5000 0.5000
0.0000 0.0000 0.0000

No. 2
Ga2AsS | Alexandria | PBE-GGA | optimized geometry; energy = -3.56 eV/atom; space group = No. 225; crystal system = cubic
1.0
0.0000 3.3383 3.3383
3.3383 0.0000 3.3383
3.3383 3.3383 0.0000
Ga As S
2 1 1
direct
0.2500 0.2500 0.2500
0.7500 0.7500 0.7500
0.0000 0.0000 0.0000
0.5000 0.5000 0.5000

No. 3
GaAsS | Alexandria | PBE-GGA | optimized geometry; energy = -4.23 eV/atom; space group = No. 31; crystal system = orthorhombic
1.0
3.7531 0.0000 0.0000
0.0000 7.8879 0.0000
0.0000 0.0000 4.1559
Ga As S
2 2 2
direct
0.0000 0.1671 0.0000
0.5000 0.8329 0.5000
0.0000 0.4806 0.1093
0.5000 0.5194 0.6093
0.0000 0.8803 0.1583
0.5000 0.1197 0.6583

Number 1: formation energy (no corrections) -0.056 eV/atom, polymorph energy (0 for the lowest one) 0.193 eV/atom. Number 2: formation energy (no corrections) 0.151 eV/atom, polymorph energy (0 for the lowest one) 0.400 eV/atom. Number 3: formation energy (no corrections) -0.292 eV/atom, polymorph energy (0 for the lowest one) 0.143 eV/atom.